Record 1
BiIr2O after structural relaxation. Source: Alexandria, functional PBE.

abc: 6.3052 6.3052 6.3052
angles: 90.00 90.00 90.00
Space group Fm-3m (No. 225)
Symmetry-distinct sites (fractional):
Bi1 0.0000 0.0000 0.0000
Ir1 0.2500 0.2500 0.2500
O1 0.0000 0.0000 0.5000

Values from the calculation:
Calculated density = 16.148 g/cm³
Total DFT energy (no corrections) = -5.821 eV per atom
E_form (uncorrected) = 0.819 eV/atom
Energy relative to the lowest polymorph listed for this composition = 61.6 kJ per mole of atoms

Record 2
BiIr4O12 after structural relaxation. Source: Alexandria, functional PBE.

abc: 7.6967 7.6967 7.3852
angles: 90.00 90.00 90.00
Space group I4/mmm (No. 139)
Symmetry-distinct sites (fractional):
Bi1 0.0000 0.0000 0.0000
Ir1 0.2500 0.2500 0.2500
O1 0.0000 0.2434 0.1817
O2 0.1969 0.1969 0.5000

Values from the calculation:
Calculated density = 8.880 g/cm³
Total DFT energy (no corrections) = -6.425 eV per atom
E_form (uncorrected) = -0.612 eV/atom

Record 3
Bi3IrO7 after structural relaxation. Source: Alexandria, functional PBE.

abc: 7.7668 10.7852 7.5675
angles: 90.00 90.00 90.00
Space group C222_1 (No. 20)
Symmetry-distinct sites (fractional):
Bi1 0.0050 0.0000 0.0000
Bi2 0.2347 0.2647 0.7508
Ir1 0.9999 0.5000 0.0000
O1 0.0000 0.1365 0.2500
O2 0.0000 0.1376 0.7500
O3 0.0000 0.4403 0.7500
O4 0.1918 0.3777 0.0286
O5 0.1939 0.3786 0.4719

Values from the calculation:
Calculated density = 9.757 g/cm³
Total DFT energy (no corrections) = -6.108 eV per atom
E_form (uncorrected) = -1.089 eV/atom